Version A
A plane-wave DFT calculation with meta-GGA SCAN was carried out for LiNiAu at its PBEsol-relaxed geometry.

Summary:
As for the total magnetic moment: 0.38 μB per cell. Its symmetry is No. 156.

Cell lengths 2.7047, 2.7047, 6.4490 Å; angles 90.00, 90.00, 120.00 degrees
With the nearest neighbours (Å) after each atom.
Fractional coordinates of all 3 atoms:
Li 0.0000 0.0000 0.0000  3 Ni 2.54, 6 Li 2.70, 3 Au 2.73
Ni 0.3333 0.6667 0.6898  3 Li 2.54, 6 Ni 2.70, 3 Au 2.71
Au 0.6667 0.3333 0.3471  6 Au 2.70, 3 Ni 2.71, 3 Li 2.73


Version B
A plane-wave DFT calculation with meta-GGA SCAN was carried out for LiNiAu at its PBEsol-relaxed geometry.

Summary:
As for the total magnetic moment: 0.00 μB per cell. Its symmetry is No. 216.

Cell lengths 4.0354, 4.0354, 4.0354 Å; angles 60.00, 60.00, 60.00 degrees
With the nearest neighbours (Å) after each atom.
Fractional coordinates of all 3 atoms:
Li 0.0000 0.0000 0.0000  4 Ni 2.47
Ni 0.7500 0.7500 0.7500  4 Li 2.47, 4 Au 2.47
Au 0.5000 0.5000 0.5000  4 Ni 2.47


Quick one: least stable of them? version B


Version A
A plane-wave DFT calculation with meta-GGA SCAN was carried out for Li5AuO4 at its PBEsol-relaxed geometry.

Summary:
As for the total magnetic moment: 0.00 μB per cell. Its symmetry is No. 12.

Cell lengths 5.2556, 5.2556, 4.6961 Å; angles 95.76, 95.76, 126.86 degrees
With the nearest neighbours (Å) after each atom.
Fractional coordinates of all 10 atoms:
Li 0.0000 0.0000 0.0000  4 O 2.03
Li 0.2072 0.7928 0.5000  4 O 1.94-1.99
Li 0.2829 0.7171 0.0000  4 O 1.93-1.95
Li 0.7171 0.2829 0.0000  4 O 1.93-1.95
Li 0.7928 0.2072 0.5000  4 O 1.94-1.99
Au 0.5000 0.5000 0.5000  4 O 2.00
O 0.1079 0.4027 0.2500  5 Li 1.93-2.03, 1 Au 2.00
O 0.4027 0.1079 0.2500  5 Li 1.93-2.03, 1 Au 2.00
O 0.5973 0.8921 0.7500  5 Li 1.93-2.03, 1 Au 2.00
O 0.8921 0.5973 0.7500  5 Li 1.93-2.03, 1 Au 2.00


Version B
A plane-wave DFT calculation with meta-GGA SCAN was carried out for Li5AuO4 at its PBEsol-relaxed geometry.

Summary:
As for the total magnetic moment: 0.00 μB per cell. Its symmetry is No. 2.

Cell lengths 3.5446, 5.3824, 5.5272 Å; angles 79.52, 71.40, 70.78 degrees
With the nearest neighbours (Å) after each atom.
Fractional coordinates of all 10 atoms:
Li 0.0000 0.0000 0.0000  2 O 1.90, 2 Li 2.08
Li 0.1786 0.0419 0.6017  4 O 1.95-2.05, 3 Li 2.08-2.13
Li 0.3144 0.3394 0.0320  4 O 1.93-2.02
Li 0.6856 0.6606 0.9680  4 O 1.93-2.02
Li 0.8214 0.9581 0.3983  4 O 1.95-2.05, 3 Li 2.08-2.13
Au 0.5000 0.5000 0.5000  4 O 2.01-2.03
O 0.2441 0.6892 0.8220  5 Li 1.90-2.05, 1 Au 2.01
O 0.4282 0.8538 0.2888  4 Li 1.95-2.02, 1 Au 2.03
O 0.5718 0.1462 0.7112  4 Li 1.95-2.02, 1 Au 2.03
O 0.7559 0.3108 0.1780  5 Li 1.90-2.05, 1 Au 2.01


Quick one: least stable of them? version B


Version A
A plane-wave DFT calculation with meta-GGA SCAN was carried out for LiOsAu2 at its PBEsol-relaxed geometry.

Summary:
As for the total magnetic moment: 0.00 μB per cell. Its symmetry is No. 123.

Cell lengths 4.7784, 4.7784, 2.6813 Å; angles 90.00, 90.00, 90.00 degrees
With the nearest neighbours (Å) after each atom.
Fractional coordinates of all 4 atoms:
Li 0.0000 0.0000 0.0000  2 Li 2.68, 8 Au 2.74
Os 0.5000 0.5000 0.0000  2 Os 2.68, 8 Au 2.74
Au 0.0000 0.5000 0.5000  2 Au 2.68, 4 Li 2.74, 4 Os 2.74
Au 0.5000 0.0000 0.5000  2 Au 2.68, 4 Li 2.74, 4 Os 2.74


Version B
A plane-wave DFT calculation with meta-GGA SCAN was carried out for LiOsAu2 at its PBEsol-relaxed geometry.

Summary:
As for the total magnetic moment: 0.00 μB per cell. Its symmetry is No. 139.

Cell lengths 4.6219, 4.6219, 4.6219 Å; angles 127.60, 127.60, 77.28 degrees
With the nearest neighbours (Å) after each atom.
Fractional coordinates of all 4 atoms:
Li 0.0000 0.0000 0.0000  8 Au 2.72, 4 Os 2.89
Os 0.5000 0.5000 0.0000  8 Au 2.72, 4 Li 2.89
Au 0.2500 0.7500 0.5000  4 Os 2.72, 4 Li 2.72, 4 Au 2.89
Au 0.7500 0.2500 0.5000  4 Os 2.72, 4 Li 2.72, 4 Au 2.89


Quick one: least stable of them? version B


Version A
A plane-wave DFT calculation with meta-GGA SCAN was carried out for LiRe2Au at its PBEsol-relaxed geometry.

Summary:
As for the total magnetic moment: 0.00 μB per cell. Its symmetry is No. 139.

Cell lengths 5.0388, 5.0388, 5.0388 Å; angles 137.71, 137.71, 61.35 degrees
With the nearest neighbours (Å) after each atom.
Fractional coordinates of all 4 atoms:
Li 0.0000 0.0000 0.0000  4 Au 2.57, 8 Re 2.83
Re 0.2500 0.7500 0.5000  4 Re 2.57, 4 Au 2.83, 4 Li 2.83
Re 0.7500 0.2500 0.5000  4 Re 2.57, 4 Au 2.83, 4 Li 2.83
Au 0.5000 0.5000 0.0000  4 Li 2.57, 8 Re 2.83


Version B
A plane-wave DFT calculation with meta-GGA SCAN was carried out for LiRe2Au at its PBEsol-relaxed geometry.

Summary:
As for the total magnetic moment: 0.00 μB per cell. Its symmetry is No. 216.

Cell lengths 4.3357, 4.3357, 4.3357 Å; angles 60.00, 60.00, 60.00 degrees
With the nearest neighbours (Å) after each atom.
Fractional coordinates of all 4 atoms:
Li 0.0000 0.0000 0.0000  4 Re 2.66, 4 Au 2.66
Re 0.2500 0.2500 0.2500  4 Re 2.66, 4 Li 2.66
Re 0.5000 0.5000 0.5000  4 Re 2.66, 4 Au 2.66
Au 0.7500 0.7500 0.7500  4 Li 2.66, 4 Re 2.66


Quick one: least stable of them? version B